# 1
A geometry-optimized PrB2PtO8 structure. Source: Alexandria, functional PBE.

Results
- D(E_F): 7.00 states/eV per cell
- Energy relative to the elements, uncorrected: -1.5614 eV/atom
- Energy: -6.881 eV/atom

Cell: 4.936 4.936 6.904 Å, 90.00 90.00 120.00°
Each line ends with the local moment (μB).
Element x y z (fractional)
O 0.831 0.662 0.196  0.25
O 0.338 0.169 0.196  0.25
O 0.831 0.169 0.196  0.25
O 0.333 0.667 0.539  0.39
O 0.169 0.338 0.804  0.25
O 0.169 0.831 0.804  0.25
O 0.662 0.831 0.804  0.25
O 0.667 0.333 0.461  0.39
Pt 0.000 0.000 0.000  0.41
B 0.667 0.333 0.248  -0.02
B 0.333 0.667 0.752  -0.02
Pr 0.000 0.000 0.500  -0.01

# 2
A geometry-optimized ErTm5Cd3 structure. Source: Alexandria, functional PBE.

Results
- D(E_F): 8.64 states/eV per cell
- Formation energy from the elements: -18 kJ/mol of atoms
- Energy: -3.484 eV/atom

Cell: 6.835 9.054 9.053 Å, 120.00 90.00 90.00°
Element x y z (fractional)
Tm 0.750 0.334 0.000
Tm 0.750 0.000 0.334
Tm 0.750 0.666 0.666
Tm 0.250 0.666 0.000
Tm 0.500 0.333 0.667
Tm 0.000 0.667 0.333
Tm 0.500 0.667 0.333
Tm 0.250 0.000 0.666
Tm 0.250 0.334 0.334
Tm 0.000 0.333 0.667
Cd 0.750 0.667 0.000
Cd 0.750 0.333 0.333
Cd 0.250 0.333 0.000
Cd 0.750 0.000 0.667
Cd 0.250 0.667 0.667
Cd 0.250 0.000 0.333
Er 0.000 0.000 0.000
Er 0.500 0.000 0.000

# 3
A geometry-optimized Eu3Cu5I12 structure. Source: Alexandria, functional PBE.

Results
- D(E_F): 202.71 states/eV per cell
- Energy relative to the elements, uncorrected: -0.7516 eV/atom
- Energy: -4.247 eV/atom

Cell: 15.201 15.201 15.201 Å, 109.47 109.47 109.47°
Each line ends with the local moment (μB).
Element x y z (fractional)
I 0.680 0.473 0.593  -0.03
I 0.473 0.680 0.093  -0.03
I 0.793 0.473 0.381  -0.03
I 0.207 0.680 0.088  -0.03
I 0.407 0.381 0.588  -0.03
I 0.881 0.588 0.907  -0.03
I 0.973 0.381 0.293  -0.03
I 0.907 0.820 0.527  -0.03
I 0.473 0.793 0.881  -0.03
I 0.207 0.527 0.619  -0.03
I 0.180 0.088 0.707  -0.03
I 0.381 0.973 0.793  -0.03
I 0.320 0.793 0.412  -0.03
I 0.707 0.119 0.027  -0.03
I 0.912 0.093 0.619  -0.03
I 0.593 0.619 0.412  -0.03
I 0.881 0.293 0.473  -0.03
I 0.293 0.412 0.820  -0.03
I 0.588 0.707 0.680  -0.03
I 0.088 0.907 0.381  -0.03
I 0.588 0.881 0.407  -0.03
I 0.027 0.619 0.707  -0.03
I 0.093 0.180 0.473  -0.03
I 0.907 0.088 0.881  -0.03
I 0.320 0.527 0.407  -0.03
I 0.527 0.207 0.119  -0.03
I 0.793 0.320 0.912  -0.03
I 0.820 0.912 0.293  -0.03
I 0.180 0.093 0.973  -0.03
I 0.912 0.820 0.793  -0.03
I 0.619 0.027 0.207  -0.03
I 0.293 0.881 0.973  -0.03
I 0.088 0.180 0.207  -0.03
I 0.707 0.588 0.180  -0.03
I 0.119 0.707 0.527  -0.03
I 0.381 0.407 0.088  -0.03
I 0.407 0.027 0.320  -0.03
I 0.093 0.912 0.119  -0.03
I 0.412 0.119 0.593  -0.03
I 0.593 0.973 0.680  -0.03
I 0.820 0.907 0.027  -0.03
I 0.119 0.412 0.093  -0.03
I 0.027 0.407 0.820  -0.03
I 0.680 0.207 0.588  -0.03
I 0.527 0.320 0.907  -0.03
I 0.412 0.293 0.320  -0.03
I 0.619 0.593 0.912  -0.03
I 0.973 0.593 0.180  -0.03
Cu 0.250 0.375 0.625  -0.04
Cu 0.125 0.750 0.375  -0.04
Cu 0.500 0.000 0.500  -0.08
Cu 0.875 0.625 0.750  -0.04
Cu 0.375 0.125 0.750  -0.04
Cu 0.500 0.500 0.500  -0.08
Cu 0.000 0.000 0.500  -0.08
Cu 0.375 0.250 0.125  -0.04
Cu 0.000 0.500 0.500  -0.08
Cu 0.125 0.375 0.250  -0.04
Cu 0.625 0.875 0.250  -0.04
Cu 0.000 0.500 0.000  -0.08
Cu 0.250 0.875 0.125  -0.04
Cu 0.500 0.000 0.000  -0.08
Cu 0.500 0.500 0.000  -0.08
Cu 0.750 0.625 0.375  -0.04
Cu 0.875 0.250 0.625  -0.04
Cu 0.625 0.750 0.875  -0.04
Cu 0.000 0.000 0.000  -0.08
Cu 0.750 0.125 0.875  -0.04
Eu 0.125 0.250 0.875  6.80
Eu 0.750 0.375 0.125  6.80
Eu 0.750 0.875 0.625  6.80
Eu 0.375 0.750 0.625  6.80
Eu 0.875 0.750 0.125  6.80
Eu 0.625 0.375 0.750  6.80
Eu 0.875 0.125 0.250  6.80
Eu 0.375 0.625 0.250  6.80
Eu 0.125 0.875 0.750  6.80
Eu 0.250 0.125 0.375  6.80
Eu 0.625 0.250 0.375  6.80
Eu 0.250 0.625 0.875  6.80